Computed, not measured: a geometry-optimized BeAs2PdRu structure at the PBE level of DFT.

abc: 4.3973 4.0300 4.3973
angles: 90.00 90.00 90.00
Sites, in units of the cell vectors:
Pd  0.5000  0.5000  0.5000
Be  0.0000  0.0000  0.0000
As  0.0000  0.0000  0.5000
As  0.5000  0.0000  0.0000
Ru  0.0000  0.5000  0.0000

As for the spin magnetization: 0.00 μB/atom. For the total energy, the calculation gives -25.1 eV per cell. Its formation enthalpy at 0 K is 0.481 eV/atom. As for the crystal system: tetragonal.

Computed, not measured: a geometry-optimized Dy2YHo2Mg2 structure at the PBE level of DFT.

abc: 5.4243 5.4243 8.5758
angles: 71.56 71.56 60.00
Sites, in units of the cell vectors:
Mg  0.7108  0.7108  0.8675
Mg  0.2892  0.2892  0.1325
Dy  0.4271  0.4271  0.7188
Dy  0.5729  0.5729  0.2812
Y  0.0000  0.0000  0.0000
Ho  0.8450  0.8450  0.4650
Ho  0.1550  0.1550  0.5350

As for the spin magnetization: 0.00 μB/atom. For the total energy, the calculation gives -28.2 eV per cell. Its formation enthalpy at 0 K is -0.029 eV/atom. As for the crystal system: trigonal.

Computed, not measured: a geometry-optimized Nd6Te3P2I structure at the PBE level of DFT.

abc: 4.3285 8.9385 9.8346
angles: 102.71 102.71 90.00
Sites, in units of the cell vectors:
P  0.8282  0.6589  0.6564
P  0.1718  0.3411  0.3436
Nd  0.0209  0.2739  0.0418
Nd  0.6776  0.1298  0.3552
Nd  0.3249  0.4349  0.6498
Nd  0.3224  0.8702  0.6448
Nd  0.6751  0.5651  0.3502
Nd  0.9791  0.7261  0.9582
Te  0.8431  0.1617  0.6862
Te  0.5000  0.5000  0.0000
Te  0.1569  0.8383  0.3138
I  0.5000  0.0000  0.0000

As for the spin magnetization: 0.00 μB/atom. For the total energy, the calculation gives -67.5 eV per cell. As for the crystal system: monoclinic.

Computed, not measured: a geometry-optimized PmDyMgRu structure at the PBE level of DFT.

abc: 3.4368 3.4368 8.5436
angles: 90.00 90.00 90.00
Sites, in units of the cell vectors:
Dy  0.5000  0.5000  0.3740
Pm  0.5000  0.5000  0.7691
Ru  0.0000  0.0000  0.5635
Mg  0.0000  0.0000  0.0781

As for the spin magnetization: 0.00 μB/atom. For the total energy, the calculation gives -21.1 eV per cell. Its formation enthalpy at 0 K is -0.227 eV/atom. As for the crystal system: tetragonal.

Computed, not measured: a geometry-optimized Pr4Y2Pb3N2 structure at the PBE level of DFT.

abc: 4.9218 4.9218 13.4023
angles: 100.58 100.58 90.00
Sites, in units of the cell vectors:
Pr  0.4135  0.9135  0.8270
Pr  0.5865  0.0865  0.1730
Pr  0.0865  0.5865  0.1730
Pr  0.9135  0.4135  0.8270
Pb  0.0000  0.0000  0.0000
Pb  0.1812  0.1812  0.3623
Pb  0.8188  0.8188  0.6377
N  0.3923  0.3923  0.7845
N  0.6077  0.6077  0.2155
Y  0.3069  0.3069  0.6137
Y  0.6931  0.6931  0.3863

As for the spin magnetization: 0.00 μB/atom. For the total energy, the calculation gives -68.8 eV per cell. As for the crystal system: tetragonal.

Computed, not measured: a geometry-optimized YTlCd2 structure at the PBE level of DFT.

abc: 4.9181 3.3952 6.2342
angles: 84.71 90.00 90.00
Sites, in units of the cell vectors:
Tl  0.0000  0.3380  0.5100
Y  0.5000  0.7447  0.7509
Cd  0.0000  0.1778  0.9998
Cd  0.5000  0.2395  0.2393

As for the spin magnetization: 0.00 μB/atom. For the total energy, the calculation gives -11.3 eV per cell. Its formation enthalpy at 0 K is -0.170 eV/atom. As for the crystal system: monoclinic.